w:
Computed, not measured: crystalline LiHfInCu at its relaxed geometry at the PBE-GGA level of DFT.

abc: 4.5248 4.5248 4.5248
angles: 60.00 60.00 60.00
Positions (direct):
Hf 0.5000 0.5000 0.5000
Cu 0.7500 0.7500 0.7500
In 0.0000 0.0000 0.0000
Li 0.2500 0.2500 0.2500

**Space group**: F-43m, No. 216

x:
Computed, not measured: crystalline LiHfInCu at its relaxed geometry at the PBE-GGA level of DFT.

abc: 4.6171 4.6171 4.6171
angles: 60.00 60.00 60.00
Positions (direct):
Li 0.5000 0.5000 0.5000
In 0.0000 0.0000 0.0000
Hf 0.2500 0.2500 0.2500
Cu 0.7500 0.7500 0.7500

**Space group**: F-43m, No. 216

Which is the most stable structure? w is the most stable.

w:
Computed, not measured: crystalline HfInCuTc at its relaxed geometry at the PBE-GGA level of DFT.

abc: 4.5878 4.5878 4.5878
angles: 60.00 60.00 60.00
Positions (direct):
Tc 0.2500 0.2500 0.2500
Cu 0.7500 0.7500 0.7500
Hf 0.5000 0.5000 0.5000
In 0.0000 0.0000 0.0000

**Space group**: F-43m, No. 216

x:
Computed, not measured: crystalline HfInCuTc at its relaxed geometry at the PBE-GGA level of DFT.

abc: 4.6167 4.6167 4.6167
angles: 60.00 60.00 60.00
Positions (direct):
Cu 0.7500 0.7500 0.7500
Tc 0.5000 0.5000 0.5000
Hf 0.2500 0.2500 0.2500
In 0.0000 0.0000 0.0000

**Space group**: F-43m, No. 216

Which is the most stable structure? w is the most stable.

w:
Computed, not measured: crystalline HfCuIrPb at its relaxed geometry at the PBE-GGA level of DFT.

abc: 4.6537 4.6537 4.6537
angles: 60.00 60.00 60.00
Positions (direct):
Pb 0.5000 0.5000 0.5000
Hf 0.0000 0.0000 0.0000
Ir 0.2500 0.2500 0.2500
Cu 0.7500 0.7500 0.7500

**Space group**: F-43m, No. 216

x:
Computed, not measured: crystalline HfCuIrPb at its relaxed geometry at the PBE-GGA level of DFT.

abc: 4.6848 4.6848 4.6848
angles: 60.00 60.00 60.00
Positions (direct):
Pb 0.0000 0.0000 0.0000
Ir 0.5000 0.5000 0.5000
Hf 0.2500 0.2500 0.2500
Cu 0.7500 0.7500 0.7500

**Space group**: F-43m, No. 216

y:
Computed, not measured: crystalline HfCuIrPb at its relaxed geometry at the PBE-GGA level of DFT.

abc: 4.6347 4.6347 4.6347
angles: 60.00 60.00 60.00
Positions (direct):
Hf 0.5000 0.5000 0.5000
Pb 0.2500 0.2500 0.2500
Ir 0.0000 0.0000 0.0000
Cu 0.7500 0.7500 0.7500

**Space group**: F-43m, No. 216

Which is the most stable structure? w is the most stable.

w:
Computed, not measured: crystalline HfCuSnIr at its relaxed geometry at the PBE-GGA level of DFT.

abc: 4.5848 4.5848 4.5848
angles: 60.00 60.00 60.00
Positions (direct):
Cu 0.7500 0.7500 0.7500
Ir 0.2500 0.2500 0.2500
Sn 0.5000 0.5000 0.5000
Hf 0.0000 0.0000 0.0000

**Space group**: F-43m, No. 216

x:
Computed, not measured: crystalline HfCuSnIr at its relaxed geometry at the PBE-GGA level of DFT.

abc: 4.6078 4.6078 4.6078
angles: 60.00 60.00 60.00
Positions (direct):
Sn 0.5000 0.5000 0.5000
Ir 0.0000 0.0000 0.0000
Hf 0.2500 0.2500 0.2500
Cu 0.7500 0.7500 0.7500

**Space group**: F-43m, No. 216

Which is the most stable structure? w is the most stable.

w:
Computed, not measured: crystalline HfZnCuIr at its relaxed geometry at the PBE-GGA level of DFT.

abc: 4.4391 4.4391 4.4391
angles: 60.00 60.00 60.00
Positions (direct):
Cu 0.7500 0.7500 0.7500
Ir 0.2500 0.2500 0.2500
Zn 0.0000 0.0000 0.0000
Hf 0.5000 0.5000 0.5000

**Space group**: F-43m, No. 216

x:
Computed, not measured: crystalline HfZnCuIr at its relaxed geometry at the PBE-GGA level of DFT.

abc: 4.4519 4.4519 4.4519
angles: 60.00 60.00 60.00
Positions (direct):
Ir 0.5000 0.5000 0.5000
Cu 0.7500 0.7500 0.7500
Hf 0.2500 0.2500 0.2500
Zn 0.0000 0.0000 0.0000

**Space group**: F-43m, No. 216

Which is the most stable structure? w is the most stable.

w:
Computed, not measured: crystalline KHfCu at its relaxed geometry at the PBE-GGA level of DFT.

abc: 4.7796 4.7796 4.7796
angles: 60.00 60.00 60.00
Positions (direct):
Hf 0.7500 0.7500 0.7500
Cu 0.2500 0.2500 0.2500
K 0.0000 0.0000 0.0000

**Space group**: F-43m, No. 216

x:
Computed, not measured: crystalline KHfCu at its relaxed geometry at the PBE-GGA level of DFT.

abc: 4.8088 4.8088 4.8088
angles: 60.00 60.00 60.00
Positions (direct):
Cu 0.0000 0.0000 0.0000
K 0.7500 0.7500 0.7500
Hf 0.2500 0.2500 0.2500

**Space group**: F-43m, No. 216

Which is the most stable structure? x is the most stable.